1.
Entry from the Alexandria database: TbCeNd2S4 after structural relaxation (PBE-GGA).

Cell: 4.0073 6.9833 6.9699 Å, 109.29 90.00 90.00°
Last column: nearest neighbours and their distance in Å.
Element x y z (fractional)
S: 0.5000 0.2425 0.2396  2 Tb 2.79, 1 Ce 2.83, 3 Nd 2.86-2.90
S: 0.5000 0.7575 0.7604  2 Tb 2.79, 1 Ce 2.83, 3 Nd 2.86-2.90
S: 0.0000 0.2482 0.7571  1 Tb 2.79, 2 Ce 2.83, 3 Nd 2.86-2.90
S: 0.0000 0.7518 0.2429  1 Tb 2.79, 2 Ce 2.83, 3 Nd 2.86-2.90
Tb: 0.0000 0.0000 0.0000  6 S 2.79
Ce: 0.5000 0.5000 0.0000  6 S 2.83
Nd: 0.5000 0.0000 0.5000  6 S 2.86
Nd: 0.0000 0.5000 0.5000  6 S 2.90

- crystal system = monoclinic
- total energy (eV/atom) = -6.6069

2.
Entry from the Alexandria database: Tb3Ce2NdS6 after structural relaxation (PBE-GGA).

Cell: 6.8743 6.8743 6.9473 Å, 99.51 99.51 120.05°
Last column: nearest neighbours and their distance in Å.
Element x y z (fractional)
S: 0.2495 0.2495 0.7409  3 Tb 2.77, 2 Ce 2.84, 1 Nd 2.87
S: 0.7505 0.7505 0.2591  3 Tb 2.77, 2 Ce 2.84, 1 Nd 2.87
S: 0.5771 0.9129 0.7387  3 Tb 2.78, 2 Ce 2.85-2.86, 1 Nd 2.87
S: 0.9129 0.5771 0.7387  3 Tb 2.78, 2 Ce 2.85-2.86, 1 Nd 2.87
S: 0.0871 0.4229 0.2613  3 Tb 2.78, 2 Ce 2.85-2.86, 1 Nd 2.87
S: 0.4229 0.0871 0.2613  3 Tb 2.78, 2 Ce 2.85-2.86, 1 Nd 2.87
Nd: 0.0000 0.0000 0.0000  6 S 2.87
Tb: 0.1641 0.8359 0.5000  6 S 2.77-2.78
Tb: 0.5000 0.5000 0.5000  6 S 2.77-2.78
Tb: 0.8359 0.1641 0.5000  6 S 2.77-2.78
Ce: 0.6665 0.3335 0.0000  6 S 2.84-2.86
Ce: 0.3335 0.6665 0.0000  6 S 2.84-2.86

- crystal system = monoclinic
- total energy (eV/atom) = -6.6416

3.
Entry from the Alexandria database: Tb3CeNd3S8 after structural relaxation (PBE-GGA).

Cell: 7.9793 7.9793 8.0087 Å, 119.88 90.00 120.00°
Last column: nearest neighbours and their distance in Å.
Element x y z (fractional)
S: 0.7393 0.9912 0.7431  2 Tb 2.78, 1 Ce 2.85, 2 Nd 2.88
S: 0.2519 0.9912 0.7431  2 Tb 2.78, 1 Ce 2.85, 2 Nd 2.88
S: 0.7481 0.0088 0.2569  2 Tb 2.78, 1 Ce 2.85, 2 Nd 2.88
S: 0.2607 0.0088 0.2569  2 Tb 2.78, 1 Ce 2.85, 2 Nd 2.88
S: 0.7459 0.4918 0.7377  3 Tb 2.78, 3 Nd 2.87
S: 0.7481 0.4962 0.2569  2 Tb 2.78, 1 Ce 2.85, 2 Nd 2.88
S: 0.2541 0.5082 0.2623  3 Tb 2.78, 3 Nd 2.87
S: 0.2519 0.5038 0.7431  2 Tb 2.78, 1 Ce 2.85, 2 Nd 2.88
Ce: 0.0000 0.0000 0.5000  6 S 2.85
Tb: 0.0000 0.5000 0.5000  6 S 2.78
Tb: 0.5000 0.0000 0.5000  6 S 2.78
Tb: 0.5000 0.5000 0.5000  6 S 2.78
Nd: 0.0000 0.0000 0.0000  6 S 2.87-2.88
Nd: 0.5000 0.5000 0.0000  6 S 2.87-2.88
Nd: 0.0000 0.5000 0.0000  6 S 2.87-2.88

- crystal system = trigonal
- total energy (eV/atom) = -6.5038

4.
Entry from the Alexandria database: TbCe2NdS4 after structural relaxation (PBE-GGA).

Cell: 4.0026 6.9534 6.9665 Å, 109.34 90.00 90.00°
Last column: nearest neighbours and their distance in Å.
Element x y z (fractional)
Tb: 0.0000 0.0000 0.0000  6 S 2.80
S: 0.5000 0.2420 0.2441  2 Tb 2.80, 3 Ce 2.83-2.88, 1 Nd 2.85
S: 0.0000 0.2443 0.7514  1 Tb 2.80, 3 Ce 2.83-2.88, 2 Nd 2.85
S: 0.5000 0.7580 0.7559  2 Tb 2.80, 3 Ce 2.83-2.88, 1 Nd 2.85
S: 0.0000 0.7557 0.2486  1 Tb 2.80, 3 Ce 2.83-2.88, 2 Nd 2.85
Ce: 0.0000 0.5000 0.5000  6 S 2.88
Ce: 0.5000 0.0000 0.5000  6 S 2.83
Nd: 0.5000 0.5000 0.0000  6 S 2.85

- crystal system = monoclinic
- total energy (eV/atom) = -6.7556